Entry 1:
Here is crystalline AcCeMg2 at its relaxed geometry from Alexandria via LeMat-Bulk. Energies are from PBEsol.

Cell and atoms, written as POSCAR:
```
AcCeMg2
1.0
0.000 3.928 3.928
3.928 0.000 3.928
3.928 3.928 0.000
Ac Ce Mg
1 1 2
Cartesian
0.000 0.000 0.000 Ac
3.928 3.928 3.928 Ce
1.964 1.964 1.964 Mg
5.893 5.893 5.893 Mg
```

calculated formation energy	0.09	eV/atom
crystal system	cubic
DOS(E_F)	9.84	states/eV/f.u.

Entry 2:
Here is crystalline CaCdOs2 at its relaxed geometry from Alexandria via LeMat-Bulk. Energies are from PBEsol.

Cell and atoms, written as POSCAR:
```
CaCdOs2
1.0
3.929 0.000 0.000
0.000 3.929 0.000
0.000 0.000 4.443
Ca Cd Os
1 1 2
Cartesian
0.000 0.000 0.000 Ca
1.964 1.964 0.000 Cd
0.000 1.964 2.221 Os
1.964 0.000 2.221 Os
```

calculated formation energy	0.71	eV/atom
crystal system	tetragonal
DOS(E_F)	4.77	states/eV/f.u.

Entry 3:
Here is crystalline FeRh2Cl at its relaxed geometry from Alexandria via LeMat-Bulk. Energies are from PBEsol.

Cell and atoms, written as POSCAR:
```
FeRh2Cl
1.0
1.423 -2.410 0.000
1.423 2.410 0.000
0.000 0.000 8.205
Fe Rh Cl
1 2 1
Cartesian
0.000 0.000 0.000 Fe
1.423 0.000 1.978 Rh
1.423 0.000 6.227 Rh
0.000 0.000 4.102 Cl
```

formation energy (no corrections)	360	meV per atom
crystal system	orthorhombic
DOS(E_F)	4.40	states/eV/f.u.